Li4Ti5Mn3O16: relaxed, GGA+U.

a b c (Å): 6.062 6.062 9.669
angles (deg): 88.20 88.20 58.11
Site moments in Bohr magnetons follow the coordinates.
Atoms (fractional coordinates):
Li1 0.008 0.008 0.507  0.00
Ti1 0.352 0.846 0.778  0.03
O1 0.463 0.023 0.154  0.04
Mn1 0.658 0.164 0.291  3.90
Ti2 0.340 0.340 0.002  0.10
O2 0.023 0.463 0.154  0.04
Ti3 0.172 0.172 0.267  0.03
O3 0.504 0.966 0.656  0.02
O4 0.660 0.183 0.915  0.00
O5 0.349 0.839 0.408  0.03
O6 0.326 0.326 0.390  -0.06
O7 0.998 0.998 0.199  -0.04
O8 0.839 0.839 0.411  -0.04
Li2 0.652 0.652 0.100  0.00
Ti4 0.664 0.664 0.500  0.07
Mn2 0.835 0.835 0.793  4.55
O9 0.169 0.169 0.898  0.00
Li3 0.337 0.337 0.598  0.00
Mn3 0.164 0.658 0.291  3.90
Ti5 0.846 0.352 0.778  0.03
O10 0.652 0.652 0.895  0.03
Li4 0.999 0.999 0.008  0.00
O11 0.468 0.468 0.163  -0.07
O12 0.966 0.504 0.656  0.02
O13 0.524 0.524 0.662  0.00
O14 0.011 0.011 0.696  0.01
O15 0.183 0.660 0.915  0.00
O16 0.839 0.349 0.408  0.03

---

Li2TiMn2O5: relaxed, GGA+U.

a b c (Å): 7.718 7.718 5.210
angles (deg): 82.94 82.94 140.69
Site moments in Bohr magnetons follow the coordinates.
Atoms (fractional coordinates):
O1 0.855 0.664 0.745  0.00
Mn1 0.698 0.302 0.000  -0.98
O2 0.648 0.848 0.745  0.01
O3 0.152 0.352 0.255  0.01
O4 0.768 0.766 0.264  -0.03
Li1 0.800 0.200 0.500  0.00
O5 0.234 0.232 0.736  -0.03
O6 0.958 0.549 0.243  0.00
Li2 0.203 0.797 0.500  0.00
Mn2 0.603 0.397 0.500  0.92
O7 0.336 0.145 0.255  0.00
O8 0.532 0.934 0.227  0.01
Li3 0.499 0.501 0.000  0.00
Mn3 0.398 0.602 0.500  -0.99
Li4 0.898 0.102 0.000  0.00
O9 0.451 0.042 0.757  0.00
O10 0.066 0.468 0.773  0.01
Mn4 0.103 0.897 0.000  1.04
Ti1 0.300 0.700 0.000  -0.03
Ti2 0.000 0.000 0.500  0.04

---

Total DFT energy (no corrections) values (in eV per atom) by entry order: -7.797; -6.841.